Record 1
Material: Pm2HoAu
Method: DFT, PBE
State: optimized geometry

Cell: 7.0886 10.0255 6.7331 Å, 90.00 90.00 90.00°
Space group Pnma (No. 62)
Asymmetric unit:
Pm: 0.1970 0.0547 0.1880 x8
Ho: 0.0187 0.2500 0.6265 x4
Au: 0.0953 0.7500 0.9598 x4

Output
* distance to the lowest polymorph of the same formula: 0 meV/atom
* E_form: -0.409 eV per atom

---

Record 2
Material: Sm4HIr2
Method: DFT, PBE
State: optimized geometry

Cell: 4.6932 4.6932 14.6141 Å, 90.00 90.00 90.00°
Space group I4/mmm (No. 139)
Asymmetric unit:
Sm: 0.0000 0.0000 0.1892 x4
Sm: 0.0000 0.5000 0.0000 x4
H: 0.0000 0.0000 0.0000 x2
Ir: 0.0000 0.0000 0.3742 x4

Output
* final energy: -6.2087 eV per atom

---

Record 3
Material: Ba8H2N
Method: DFT, PBE
State: optimized geometry

Cell: 13.8628 10.3641 7.0593 Å, 90.00 92.00 90.00°
Space group C2/m (No. 12)
Asymmetric unit:
Ba: 0.1016 0.1949 0.2963 x8
Ba: 0.1274 0.5000 0.7798 x4
Ba: 0.1457 0.0000 0.7662 x4
H: 0.1884 0.0000 0.1469 x4
N: 0.0000 0.0000 0.5000 x2

Output
* final energy: -2.9587 eV per atom

---

Record 4
Material: V2CrMo
Method: DFT, PBE
State: optimized geometry

Cell: 6.6650 6.6650 5.1640 Å, 90.00 90.00 90.00°
Space group I-42d (No. 122)
Asymmetric unit:
V: 0.2320 0.2500 0.1250 x8
Cr: 0.0000 0.0000 0.0000 x4
Mo: 0.0000 0.0000 0.5000 x4

Output
* distance to the lowest polymorph of the same formula: 654 meV/atom
* E_form: 0.567 eV per atom

---

no.,total magnetic moment (μB/f.u.)
1,0.000
2,0.000
3,0.415
4,0.000